# 1
# CsSe2N (PBE, optimized geometry)
# - ΔE to the lowest computed polymorph: 0.0000 eV per atom
# - Formation energy from raw total energies: 0.2343 eV/atom
data_CsSe2N
_chemical_formula_sum 'Cs3 Se6 N3'
_cell_length_a 6.1226
_cell_length_b 6.1226
_cell_length_c 18.6442
_cell_angle_alpha 90.00
_cell_angle_beta 90.00
_cell_angle_gamma 120.00
_symmetry_space_group_name_H-M 'R -3 m'
_symmetry_Int_Tables_number 166
_symmetry_space_group_name_Hall '-R 3 2"'
loop_
_atom_site_label
_atom_site_type_symbol
_atom_site_fract_x
_atom_site_fract_y
_atom_site_fract_z
Cs1 Cs 0.0000 0.0000 0.0000
Se1 Se 0.0000 0.0000 0.4060
N1 N 0.0000 0.0000 0.5000

***

# 2
# TmTlAgBr5 (PBE, optimized geometry)
# - Density of states at the Fermi level: 0.0000 states/eV/atom
# - Formation energy from raw total energies: -1.2203 eV/atom
data_TmTlAgBr5
_chemical_formula_sum 'Tm4 Tl4 Ag4 Br20'
_cell_length_a 9.132
_cell_length_b 12.969
_cell_length_c 10.585
_cell_angle_alpha 90.00
_cell_angle_beta 111.82
_cell_angle_gamma 90.00
_symmetry_space_group_name_H-M 'C 1 2/c 1'
_symmetry_Int_Tables_number 15
_symmetry_space_group_name_Hall '-C 2yc'
loop_
_atom_site_label
_atom_site_type_symbol
_atom_site_fract_x
_atom_site_fract_y
_atom_site_fract_z
Tm1 Tm 0.000 0.000 0.000
Tl1 Tl 0.000 0.352 0.250
Ag1 Ag 0.000 0.309 0.750
Br1 Br 0.000 0.072 0.250
Br2 Br 0.110 0.195 0.593
Br3 Br 0.189 0.444 0.940